Nd2DyScTl2 | Alexandria | PBE-GGA | relaxed; crystal system = orthorhombic; V = 29.08 A^3/atom; ΔE_f = -256 meV/atom
1.0
5.0069 0.0000 0.0000
0.0000 10.0076 0.0000
0.0000 0.0000 6.9632
Nd Dy Sc Tl
4 2 2 4
direct
0.0000 0.0484 0.0000 Nd
0.0000 0.9516 0.5000 Nd
0.5000 0.1878 0.2770 Nd
0.5000 0.8122 0.7770 Nd
0.5000 0.4549 0.8997 Dy
0.5000 0.5451 0.3997 Dy
0.0000 0.3120 0.6080 Sc
0.0000 0.6880 0.1080 Sc
0.0000 0.3873 0.1715 Tl
0.0000 0.6127 0.6715 Tl
0.5000 0.1507 0.7364 Tl
0.5000 0.8493 0.2364 Tl

---

Nd2Dy2TmSc2 | Alexandria | PBE-GGA | relaxed; crystal system = monoclinic; V = 31.14 A^3/atom; ΔE_f = 173 meV/atom
1.0
5.6507 -1.7023 0.0000
5.6507 1.7023 0.0000
-2.6740 0.0000 11.3311
Nd Dy Tm Sc
2 2 1 2
direct
0.2024 0.2024 0.3576 Nd
0.7976 0.7976 0.6424 Nd
0.4455 0.4455 0.1917 Dy
0.5545 0.5545 0.8083 Dy
0.5000 0.5000 0.5000 Tm
0.1437 0.1437 0.0590 Sc
0.8563 0.8563 0.9410 Sc

---

NdDyTm2Sc4 | Alexandria | PBE-GGA | relaxed; crystal system = orthorhombic; V = 29.02 A^3/atom; ΔE_f = 443 meV/atom
1.0
-3.2581 5.6310 6.3265
3.2581 -5.6310 6.3265
3.2581 5.6310 -6.3265
Nd Dy Tm Sc
2 2 4 8
direct
0.5000 0.0000 0.0000 Nd
0.5000 0.5000 0.5000 Nd
0.0000 0.0000 0.0000 Dy
0.5000 0.0000 0.5000 Dy
0.0000 0.0000 0.5000 Tm
0.0000 0.5000 0.0000 Tm
0.0000 0.5000 0.5000 Tm
0.5000 0.5000 0.0000 Tm
0.2452 0.7486 0.4965 Sc
0.2464 0.2470 0.5006 Sc
0.2464 0.7458 0.9994 Sc
0.2479 0.2514 0.9965 Sc
0.7521 0.7486 0.0035 Sc
0.7536 0.2542 0.0006 Sc
0.7536 0.7530 0.4994 Sc
0.7548 0.2514 0.5035 Sc

---

NdDy2TmSc | Alexandria | PBE-GGA | relaxed; crystal system = orthorhombic; V = 32.53 A^3/atom; ΔE_f = 340 meV/atom
1.0
4.0879 -5.6144 0.0000
4.0879 5.6144 0.0000
0.0000 0.0000 7.0862
Nd Dy Tm Sc
2 4 2 2
direct
0.2307 0.7693 0.7500 Nd
0.7693 0.2307 0.2500 Nd
0.1972 0.1972 0.0000 Dy
0.1972 0.1972 0.5000 Dy
0.8028 0.8028 0.0000 Dy
0.8028 0.8028 0.5000 Dy
0.2325 0.7675 0.2500 Tm
0.7675 0.2325 0.7500 Tm
0.4957 0.5043 0.7500 Sc
0.5043 0.4957 0.2500 Sc

---

NdDyTm3Sc | Alexandria | PBE-GGA | relaxed; crystal system = orthorhombic; V = 30.15 A^3/atom; ΔE_f = 41 meV/atom
1.0
2.4696 -7.4021 0.0000
2.4696 7.4021 0.0000
0.0000 0.0000 9.8960
Nd Dy Tm Sc
2 2 6 2
direct
0.0020 0.9980 0.7500 Nd
0.9980 0.0020 0.2500 Nd
0.5000 0.5000 0.0000 Dy
0.5000 0.5000 0.5000 Dy
0.1685 0.8315 0.0000 Tm
0.1685 0.8315 0.5000 Tm
0.3299 0.6701 0.7500 Tm
0.6701 0.3299 0.2500 Tm
0.8315 0.1685 0.0000 Tm
0.8315 0.1685 0.5000 Tm
0.3313 0.6687 0.2500 Sc
0.6687 0.3313 0.7500 Sc

---

NdDyTm2Sc | Alexandria | PBE-GGA | relaxed; crystal system = orthorhombic; V = 32.21 A^3/atom; ΔE_f = 327 meV/atom
1.0
4.0705 -5.5953 0.0000
4.0705 5.5953 0.0000
0.0000 0.0000 7.0704
Nd Dy Tm Sc
2 2 4 2
direct
0.2297 0.7703 0.7500 Nd
0.7703 0.2297 0.2500 Nd
0.2317 0.7683 0.2500 Dy
0.7683 0.2317 0.7500 Dy
0.1964 0.1964 0.0000 Tm
0.1964 0.1964 0.5000 Tm
0.8036 0.8036 0.0000 Tm
0.8036 0.8036 0.5000 Tm
0.4958 0.5042 0.7500 Sc
0.5042 0.4958 0.2500 Sc

---

NdDy5Tm2Sc | Alexandria | PBE-GGA | relaxed; crystal system = orthorhombic; V = 31.41 A^3/atom; ΔE_f = 175 meV/atom
1.0
2.7725 -9.8505 0.0000
2.7725 9.8505 0.0000
0.0000 0.0000 10.3500
Nd Dy Tm Sc
2 10 4 2
direct
0.0873 0.9127 0.5000 Nd
0.9127 0.0873 0.0000 Nd
0.0193 0.9807 0.7866 Dy
0.1225 0.8775 0.0685 Dy
0.2014 0.7986 0.7536 Dy
0.2231 0.7769 0.3687 Dy
0.4819 0.5181 0.0671 Dy
0.5181 0.4819 0.5671 Dy
0.7769 0.2231 0.8687 Dy
0.7986 0.2014 0.2536 Dy
0.8775 0.1225 0.5685 Dy
0.9807 0.0193 0.2866 Dy
0.3861 0.6139 0.7835 Tm
0.3882 0.6118 0.3612 Tm
0.6118 0.3882 0.8612 Tm
0.6139 0.3861 0.2835 Tm
0.3042 0.6958 0.0621 Sc
0.6958 0.3042 0.5621 Sc

---

NdDy2Tm2Sc2 | Alexandria | PBE-GGA | relaxed; crystal system = orthorhombic; V = 29.57 A^3/atom; ΔE_f = 76 meV/atom
1.0
-1.7071 2.7021 11.2184
1.7071 -2.7021 11.2184
1.7071 2.7021 -11.2184
Nd Dy Tm Sc
1 2 2 2
direct
0.0000 0.0000 0.0000 Nd
0.4268 0.4268 0.0000 Dy
0.5732 0.5732 0.0000 Dy
0.2918 0.7918 0.5000 Tm
0.7082 0.2082 0.5000 Tm
0.1461 0.6461 0.5000 Sc
0.8539 0.3539 0.5000 Sc

---

Nd2Dy4TmSc | Alexandria | PBE-GGA | relaxed; crystal system = tetragonal; V = 31.27 A^3/atom; ΔE_f = 35 meV/atom
1.0
5.0115 0.0000 0.0000
0.0000 5.0115 0.0000
0.0000 0.0000 9.9607
Nd Dy Tm Sc
2 4 1 1
direct
0.0000 0.0000 0.0000 Nd
0.5000 0.5000 0.5000 Nd
0.0000 0.5000 0.2465 Dy
0.0000 0.5000 0.7535 Dy
0.5000 0.0000 0.2465 Dy
0.5000 0.0000 0.7535 Dy
0.0000 0.0000 0.5000 Tm
0.5000 0.5000 0.0000 Sc

---

Nd3Dy2Tm6Sc | Alexandria | PBE-GGA | relaxed; crystal system = monoclinic; V = 30.97 A^3/atom; ΔE_f = 33 meV/atom
1.0
3.0598 -5.2976 0.0000
3.0598 5.2976 0.0000
-2.0384 0.0000 11.4638
Nd Dy Tm Sc
3 2 6 1
direct
0.0000 0.0000 0.0000 Nd
0.3334 0.6666 0.0000 Nd
0.6666 0.3334 0.0000 Nd
0.1664 0.8336 0.5000 Dy
0.8336 0.1664 0.5000 Dy
0.0884 0.4193 0.2559 Tm
0.2498 0.2498 0.7443 Tm
0.4193 0.0884 0.2559 Tm
0.5807 0.9116 0.7441 Tm
0.7502 0.7502 0.2557 Tm
0.9116 0.5807 0.7441 Tm
0.5000 0.5000 0.5000 Sc

---

Nd6DyTmSc2 | Alexandria | PBE-GGA | relaxed; crystal system = monoclinic; V = 32.37 A^3/atom; ΔE_f = 124 meV/atom
1.0
4.5382 -7.5377 0.0000
4.5382 7.5377 0.0000
-1.4555 0.0000 9.4623
Nd Dy Tm Sc
12 2 2 4
direct
0.0113 0.5620 0.1845 Nd
0.1094 0.7629 0.5523 Nd
0.2371 0.8906 0.9477 Nd
0.2995 0.5033 0.3814 Nd
0.4380 0.9887 0.3155 Nd
0.4967 0.7005 0.1186 Nd
0.5033 0.2995 0.8814 Nd
0.5620 0.0113 0.6845 Nd
0.7005 0.4967 0.6186 Nd
0.7629 0.1094 0.0523 Nd
0.8906 0.2371 0.4477 Nd
0.9887 0.4380 0.8155 Nd
0.4079 0.5921 0.7500 Dy
0.5921 0.4079 0.2500 Dy
0.0281 0.9719 0.2500 Tm
0.9719 0.0281 0.7500 Tm
0.1960 0.2920 0.0480 Sc
0.2920 0.1960 0.5480 Sc
0.7080 0.8040 0.4520 Sc
0.8040 0.7080 0.9520 Sc

---

NdDy6Tm2Sc | Alexandria | PBE-GGA | relaxed; crystal system = monoclinic; V = 31.19 A^3/atom; ΔE_f = 129 meV/atom
1.0
4.6175 -7.4487 0.0000
4.6175 7.4487 0.0000
-0.6529 0.0000 9.0698
Nd Dy Tm Sc
2 12 4 2
direct
0.0329 0.9671 0.7500 Nd
0.9671 0.0329 0.2500 Nd
0.0105 0.4499 0.3094 Dy
0.1232 0.7689 0.0551 Dy
0.2311 0.8768 0.4449 Dy
0.2868 0.5220 0.8937 Dy
0.4499 0.0105 0.8094 Dy
0.4780 0.7132 0.6063 Dy
0.5220 0.2868 0.3937 Dy
0.5501 0.9895 0.1906 Dy
0.7132 0.4780 0.1063 Dy
0.7689 0.1232 0.5551 Dy
0.8768 0.2311 0.9449 Dy
0.9895 0.5501 0.6906 Dy
0.2077 0.3121 0.5558 Tm
0.3121 0.2077 0.0558 Tm
0.6879 0.7923 0.9442 Tm
0.7923 0.6879 0.4442 Tm
0.4212 0.5788 0.2500 Sc
0.5788 0.4212 0.7500 Sc

---

NdDy3TmSc | Alexandria | PBE-GGA | relaxed; crystal system = orthorhombic; V = 30.59 A^3/atom; ΔE_f = 38 meV/atom
1.0
2.4765 -7.4339 0.0000
2.4765 7.4339 0.0000
0.0000 0.0000 9.9689
Nd Dy Tm Sc
2 6 2 2
direct
0.0029 0.9971 0.7500 Nd
0.9971 0.0029 0.2500 Nd
0.1675 0.8325 0.9998 Dy
0.1675 0.8325 0.5002 Dy
0.3305 0.6695 0.7500 Dy
0.6695 0.3305 0.2500 Dy
0.8325 0.1675 0.0002 Dy
0.8325 0.1675 0.4998 Dy
0.5000 0.5000 0.0000 Tm
0.5000 0.5000 0.5000 Tm
0.3319 0.6681 0.2500 Sc
0.6681 0.3319 0.7500 Sc

---

Nd6DyTm2Sc | Alexandria | PBE-GGA | relaxed; crystal system = monoclinic; V = 33.01 A^3/atom; ΔE_f = 127 meV/atom
1.0
4.6367 -7.6342 0.0000
4.6367 7.6342 0.0000
-1.0230 0.0000 9.3254
Nd Dy Tm Sc
12 2 4 2
direct
0.0101 0.4427 0.8050 Nd
0.1198 0.7704 0.5518 Nd
0.2296 0.8802 0.9482 Nd
0.2906 0.5156 0.3879 Nd
0.4427 0.0101 0.3050 Nd
0.4844 0.7094 0.1121 Nd
0.5156 0.2906 0.8879 Nd
0.5573 0.9899 0.6950 Nd
0.7094 0.4844 0.6121 Nd
0.7704 0.1198 0.0518 Nd
0.8802 0.2296 0.4482 Nd
0.9899 0.5573 0.1950 Nd
0.0279 0.9721 0.2500 Dy
0.9721 0.0279 0.7500 Dy
0.2060 0.3025 0.0492 Tm
0.3025 0.2060 0.5492 Tm
0.6975 0.7940 0.4508 Tm
0.7940 0.6975 0.9508 Tm
0.4215 0.5785 0.7500 Sc
0.5785 0.4215 0.2500 Sc

---

NdDy2Tm4Sc | Alexandria | PBE-GGA | relaxed; crystal system = monoclinic; V = 31.57 A^3/atom; ΔE_f = 446 meV/atom
1.0
6.6775 -6.5329 0.0000
6.6775 6.5329 0.0000
-3.3492 0.0000 5.7902
Nd Dy Tm Sc
2 4 8 2
direct
0.0000 0.5000 0.0000 Nd
0.5000 0.0000 0.5000 Nd
0.0000 0.0000 0.0000 Dy
0.0000 0.0000 0.5000 Dy
0.0000 0.5000 0.5000 Dy
0.5000 0.0000 0.0000 Dy
0.2602 0.7394 0.9991 Tm
0.2614 0.2626 0.5129 Tm
0.2606 0.7398 0.5009 Tm
0.2626 0.2614 0.0129 Tm
0.7374 0.7386 0.9871 Tm
0.7394 0.2602 0.4991 Tm
0.7386 0.7374 0.4871 Tm
0.7398 0.2606 0.0009 Tm
0.5000 0.5000 0.0000 Sc
0.5000 0.5000 0.5000 Sc

---

Nd2DyTm4Sc | Alexandria | PBE-GGA | relaxed; crystal system = tetragonal; V = 30.74 A^3/atom; ΔE_f = 38 meV/atom
1.0
4.9906 0.0000 0.0000
0.0000 4.9906 0.0000
0.0000 0.0000 9.8747
Nd Dy Tm Sc
2 1 4 1
direct
0.0000 0.0000 0.0000 Nd
0.5000 0.5000 0.5000 Nd
0.0000 0.0000 0.5000 Dy
0.0000 0.5000 0.2454 Tm
0.0000 0.5000 0.7546 Tm
0.5000 0.0000 0.2454 Tm
0.5000 0.0000 0.7546 Tm
0.5000 0.5000 0.0000 Sc

---

Nd6Dy3Tm2Sc | Alexandria | PBE-GGA | relaxed; crystal system = monoclinic; V = 32.26 A^3/atom; ΔE_f = 25 meV/atom
1.0
3.1129 -5.3912 0.0000
3.1129 5.3912 0.0000
-2.0727 0.0000 11.5346
Nd Dy Tm Sc
6 3 2 1
direct
0.0820 0.4129 0.2462 Nd
0.2490 0.2490 0.7536 Nd
0.4129 0.0820 0.2462 Nd
0.5871 0.9180 0.7538 Nd
0.7510 0.7510 0.2464 Nd
0.9180 0.5871 0.7538 Nd
0.1667 0.8333 0.5000 Dy
0.5000 0.5000 0.5000 Dy
0.8333 0.1667 0.5000 Dy
0.3334 0.6666 0.0000 Tm
0.6666 0.3334 0.0000 Tm
0.0000 0.0000 0.0000 Sc

---

NdDy6Tm2Sc3 | Alexandria | PBE-GGA | relaxed; crystal system = monoclinic; V = 29.66 A^3/atom; ΔE_f = 45 meV/atom
1.0
3.0193 -5.2267 0.0000
3.0193 5.2267 0.0000
-2.0089 0.0000 11.2783
Nd Dy Tm Sc
1 6 2 3
direct
0.0000 0.0000 0.0000 Nd
0.0867 0.4205 0.2593 Dy
0.2473 0.2473 0.7406 Dy
0.4205 0.0867 0.2593 Dy
0.5795 0.9133 0.7407 Dy
0.7527 0.7527 0.2594 Dy
0.9133 0.5795 0.7407 Dy
0.3334 0.6666 0.0000 Tm
0.6666 0.3334 0.0000 Tm
0.1671 0.8329 0.5000 Sc
0.5000 0.5000 0.5000 Sc
0.8329 0.1671 0.5000 Sc

---

NdDyTm2Sc2 | Alexandria | PBE-GGA | relaxed; crystal system = orthorhombic; V = 30.12 A^3/atom; ΔE_f = 282 meV/atom
1.0
6.2658 0.0000 0.0000
0.0000 17.3034 0.0000
0.0000 0.0000 3.3342
Nd Dy Tm Sc
2 2 4 4
direct
0.0000 0.0000 0.0000 Nd
0.5000 0.5000 0.5000 Nd
0.0000 0.5000 0.0000 Dy
0.5000 0.0000 0.5000 Dy
0.2198 0.1917 0.0000 Tm
0.2802 0.6917 0.5000 Tm
0.7198 0.3083 0.5000 Tm
0.7802 0.8083 0.0000 Tm
0.2172 0.3532 0.5000 Sc
0.2828 0.8532 0.0000 Sc
0.7172 0.1468 0.0000 Sc
0.7828 0.6468 0.5000 Sc

---

Nd2DyTm2Sc2 | Alexandria | PBE-GGA | relaxed; crystal system = monoclinic; V = 30.46 A^3/atom; ΔE_f = 108 meV/atom
1.0
5.6905 -1.7122 0.0000
5.6905 1.7122 0.0000
-3.6962 0.0000 10.9432
Nd Dy Tm Sc
2 1 2 2
direct
0.1729 0.1729 0.0899 Nd
0.8271 0.8271 0.9101 Nd
0.5000 0.5000 0.5000 Dy
0.0447 0.0447 0.7663 Tm
0.9553 0.9553 0.2337 Tm
0.2711 0.2711 0.6299 Sc
0.7289 0.7289 0.3701 Sc